No. 1
# NbB3Sb

A relaxed structure of NbB3Sb (GGA-PBE, the Alexandria database).

Lattice parameters (Å, degrees): 4.3211 4.3211 4.3211 90.00 90.00 90.00
Fractional positions:
B 0.0000 0.0000 0.5000
B 0.5000 0.0000 0.0000
B 0.0000 0.5000 0.0000
Nb 0.5000 0.5000 0.5000
Sb 0.0000 0.0000 0.0000

Computed properties:
Offset from the most stable computed form, meV per atom: 849
Crystal system: cubic
E_tot, eV/atom: -4.546
Volume, Å³ per atom: 16.137



No. 2
# ZnInCl3

A relaxed structure of ZnInCl3 (GGA-PBE, the Alexandria database).

Lattice parameters (Å, degrees): 6.1338 14.6983 6.3012 90.00 90.00 90.00
Fractional positions:
Cl 0.9594 0.1112 0.0324
Cl 0.0262 0.7500 0.4378
Cl 0.0406 0.8888 0.9676
Cl 0.4738 0.2500 0.9378
Cl 0.9594 0.3888 0.0324
Cl 0.4594 0.3888 0.4676
Cl 0.0406 0.6112 0.9676
Cl 0.4594 0.1112 0.4676
Cl 0.5406 0.8888 0.5324
Cl 0.5262 0.7500 0.0622
Cl 0.9738 0.2500 0.5622
Cl 0.5406 0.6112 0.5324
Zn 0.8554 0.2500 0.9185
Zn 0.3554 0.2500 0.5815
Zn 0.6446 0.7500 0.4185
Zn 0.1446 0.7500 0.0815
In 0.5000 0.0000 0.0000
In 0.0000 0.5000 0.5000
In 0.5000 0.5000 0.0000
In 0.0000 0.0000 0.5000

Computed properties:
Offset from the most stable computed form, meV per atom: 27
Crystal system: orthorhombic
E_tot, eV/atom: -2.908
Volume, Å³ per atom: 28.404



No. 3
# Nd6TlTe3Rh2

A relaxed structure of Nd6TlTe3Rh2 (GGA-PBE, the Alexandria database).

Lattice parameters (Å, degrees): 4.2622 9.1793 10.0746 107.92 102.21 90.00
Fractional positions:
Rh 0.8338 0.6736 0.6677
Rh 0.1662 0.3264 0.3323
Nd 0.0109 0.2606 0.0217
Nd 0.9891 0.7394 0.9783
Nd 0.3197 0.4428 0.6393
Nd 0.3294 0.8906 0.6588
Nd 0.6803 0.5572 0.3607
Nd 0.6706 0.1094 0.3412
Tl 0.5000 0.0000 0.0000
Te 0.5000 0.5000 0.0000
Te 0.8379 0.1711 0.6757
Te 0.1621 0.8289 0.3243

Computed properties:
Crystal system: monoclinic
E_tot, eV/atom: -5.537
Volume, Å³ per atom: 30.471



> Which formula does entry 3 have?

Nd6TlTe3Rh2



> Among the records above, which one has the highest E_tot?

ZnInCl3